# 1
A plane-wave DFT calculation with PBE was carried out for an optimized crystal structure of Ca2PtW.

Calculated values
- E above lowest polymorph: 0.294 eV/f.u.

Structure (POSCAR):
```
Ca2PtW
1.0
-4.9691 -3.3451 -0.9066
-4.2567 -3.8707 1.8978
-4.4357 2.7737 1.6466
Ca W Pt
2 1 1
Direct
0.7835 0.7835 0.6741
0.9799 0.9799 0.0536
0.2088 0.2088 0.2320
0.5278 0.5278 0.5404
```

=====

# 2
A plane-wave DFT calculation with PBE was carried out for an optimized crystal structure of CaPt2W.

Calculated values
- E above lowest polymorph: 0.124 eV/f.u.

Structure (POSCAR):
```
CaPt2W
1.0
3.6961 0.0000 0.0000
0.0000 2.8549 0.0110
0.0000 2.8262 7.0945
Pt W Ca
2 1 1
Direct
0.0000 0.5491 0.4510
0.0000 0.9509 0.0490
0.5000 0.2500 0.2500
0.5000 0.7500 0.7500
```

=====

# 3
A plane-wave DFT calculation with PBE was carried out for an optimized crystal structure of CaPtW3.

Calculated values
- E above lowest polymorph: 6.444 eV/f.u.

Structure (POSCAR):
```
CaPtW3
1.0
-4.3124 -1.2494 0.6580
1.2748 -2.5350 3.5412
-0.6074 3.5502 2.7601
W Ca Pt
3 1 1
Direct
0.5000 0.0000 0.0000
0.0000 0.0000 0.5000
0.0000 0.5000 0.0000
0.0000 0.0000 0.0000
0.5000 0.5000 0.5000
```

=====

# 4
A plane-wave DFT calculation with PBE was carried out for an optimized crystal structure of CaPt2W.

Calculated values
- E above lowest polymorph: 2.129 eV/f.u.

Structure (POSCAR):
```
CaPt2W
1.0
9.7291 0.0011 0.0007
9.2880 2.8964 0.0007
9.2880 1.4151 2.5271
Pt W Ca
2 1 1
Direct
0.2479 0.2479 0.2479
0.9973 0.9973 0.9973
0.5078 0.5078 0.5078
0.7470 0.7470 0.7470
```

=====

# 5
A plane-wave DFT calculation with PBE was carried out for an optimized crystal structure of Ca2PtW.

Calculated values
- E above lowest polymorph: 1.481 eV/f.u.

Structure (POSCAR):
```
Ca2PtW
1.0
-3.6558 -0.4121 3.2491
-3.1689 -0.8353 -3.6540
4.0195 -2.7800 0.4540
W Ca Pt
1 2 1
Direct
0.7500 0.2500 0.5000
0.0000 0.0000 0.0000
0.2500 0.7500 0.5000
0.5000 0.5000 0.0000
```

=====

# 6
A plane-wave DFT calculation with PBE was carried out for an optimized crystal structure of Ca2PtW.

Calculated values
- E above lowest polymorph: 1.390 eV/f.u.

Structure (POSCAR):
```
Ca2PtW
1.0
5.5693 0.0097 0.0000
2.3656 5.0419 0.0000
-3.9674 -2.5258 2.9827
Pt Ca W
1 2 1
Direct
0.2500 0.7500 0.5000
0.0000 0.0000 0.0000
0.5000 0.5000 0.0000
0.7500 0.2500 0.5000
```

=====

Number 1: formation energy from the elements 0.193 eV/atom. Number 2: formation energy from the elements -0.325 eV/atom. Number 3: formation energy from the elements 3.061 eV/atom. Number 4: formation energy from the elements 0.176 eV/atom. Number 5: formation energy from the elements 0.490 eV/atom. Number 6: formation energy from the elements 0.467 eV/atom.